LiThNiP2 | PBE | optimized geometry

a = 5.1387 Å, b = 6.1068 Å, c = 5.3345 Å
α = 90.00°, β = 90.00°, γ = 90.00°
Last column: nearest neighbours and their distance in Å.
Atoms (fractional coordinates):
1 Li 0.2500 0.0000 0.0850  2 P 2.45, 2 Ni 2.56, 2 Li 2.72
2 Li 0.7500 0.0000 0.9150  2 P 2.45, 2 Ni 2.56, 2 Li 2.72
3 Th 0.2500 0.5000 0.2623  6 P 2.91-3.00, 2 Li 3.20
4 Th 0.7500 0.5000 0.7377  6 P 2.91-3.00, 2 Li 3.20
5 Ni 0.0000 0.0000 0.5000  4 P 2.32, 2 Li 2.56, 2 Ni 2.57
6 Ni 0.5000 0.0000 0.5000  4 P 2.32, 2 Li 2.56, 2 Ni 2.57
7 P 0.2500 0.2477 0.7243  2 Ni 2.32, 1 Li 2.45
8 P 0.2500 0.7523 0.7243  2 Ni 2.32, 1 Li 2.45
9 P 0.7500 0.2477 0.2757  2 Ni 2.32, 1 Li 2.45
10 P 0.7500 0.7523 0.2757  2 Ni 2.32, 1 Li 2.45

Properties
ΔH_f (0 K) = -3.95 eV per formula unit
Fermi-level density of states = 0.510 states/eV/atom
Mass density = 7.13 Mg/m³
Space group = Pmma (51)